Record 1
Density functional theory data (PBE-GGA) for a relaxed CaTl2CrCd crystal.

abc: 5.936 5.537 5.936
angles: 90.00 90.00 90.00
Site moments in Bohr magnetons follow the coordinates.
Positions (direct):
1 Ca 0.000 0.000 0.000  0.07
2 Tl 0.000 0.000 0.500  -0.01
3 Cd 0.500 0.500 0.500  0.01
4 Cr 0.000 0.500 0.000  4.17
5 Tl 0.500 0.000 0.000  -0.04

## Properties
* V: 195.1 Å³/f.u.
* total magnetization: 4.81 μB/cell
* energy of formation from the pure elements: 0.9674 eV per atom

=====

Record 2
Density functional theory data (PBE-GGA) for a relaxed CaZnCrCd2 crystal.

abc: 5.205 4.884 5.205
angles: 90.00 90.00 90.00
Site moments in Bohr magnetons follow the coordinates.
Positions (direct):
1 Cd 0.000 0.000 0.500  0.02
2 Cr 0.000 0.000 0.000  3.44
3 Ca 0.500 0.500 0.500  -0.05
4 Zn 0.000 0.500 0.000  0.04
5 Cd 0.500 0.000 0.000  0.02

## Properties
* V: 132.3 Å³/f.u.
* total magnetization: 3.59 μB/cell
* energy of formation from the pure elements: 0.3014 eV per atom

=====

Record 3
Density functional theory data (PBE-GGA) for a relaxed CsCa3Cd crystal.

abc: 5.841 5.841 5.841
angles: 90.00 90.00 90.00
Positions (direct):
1 Cd 0.500 0.500 0.500
2 Ca 0.000 0.500 0.000
3 Ca 0.500 0.000 0.000
4 Ca 0.000 0.000 0.500
5 Cs 0.000 0.000 0.000

## Properties
* V: 199.2 Å³/f.u.
* offset from the most stable computed form: 0.999 eV/atom
* total magnetization: 0.00 μB/cell
* energy of formation from the pure elements: 1.0504 eV per atom

=====

Record 4
Density functional theory data (PBE-GGA) for a relaxed Cs2CaCd2 crystal.

abc: 8.713 8.713 6.427
angles: 90.00 90.00 90.00
Positions (direct):
1 Cd 0.124 0.376 0.000
2 Cd 0.624 0.124 0.000
3 Ca 0.000 0.000 0.000
4 Cs 0.675 0.825 0.500
5 Ca 0.500 0.500 0.000
6 Cs 0.325 0.175 0.500
7 Cd 0.376 0.876 0.000
8 Cs 0.825 0.325 0.500
9 Cs 0.175 0.675 0.500
10 Cd 0.876 0.624 0.000

## Properties
* V: 243.9 Å³/f.u.
* total magnetization: 0.00 μB/cell
* energy of formation from the pure elements: 0.0257 eV per atom

=====

Record 5
Density functional theory data (PBE-GGA) for a relaxed CsCa2Cd2 crystal.

abc: 9.763 9.763 3.736
angles: 90.00 90.00 90.00
Positions (direct):
1 Cs 0.500 0.500 0.000
2 Cd 0.161 0.661 0.500
3 Ca 0.629 0.129 0.000
4 Cd 0.339 0.161 0.500
5 Ca 0.129 0.371 0.000
6 Cs 0.000 0.000 0.000
7 Ca 0.371 0.871 0.000
8 Cd 0.839 0.339 0.500
9 Ca 0.871 0.629 0.000
10 Cd 0.661 0.839 0.500

## Properties
* V: 178.0 Å³/f.u.
* offset from the most stable computed form: 0.000 eV/atom
* total magnetization: 0.00 μB/cell
* energy of formation from the pure elements: -0.0924 eV per atom

=====

Record 6
Density functional theory data (PBE-GGA) for a relaxed CsCa3Cd crystal.

abc: 6.236 6.236 6.236
angles: 90.00 90.00 90.00
Positions (direct):
1 Ca 0.000 0.500 0.000
2 Ca 0.000 0.000 0.500
3 Cs 0.500 0.500 0.500
4 Ca 0.500 0.000 0.000
5 Cd 0.000 0.000 0.000

## Properties
* V: 242.5 Å³/f.u.
* offset from the most stable computed form: 0.000 eV/atom
* total magnetization: 0.00 μB/cell
* energy of formation from the pure elements: 0.0515 eV per atom

=====

Q: Which value of total magnetization does entry 2 give?
A: 3.59 μB/cell

=====

Repeat the sixth record exactly.
Density functional theory data (PBE-GGA) for a relaxed CsCa3Cd crystal.

abc: 6.236 6.236 6.236
angles: 90.00 90.00 90.00
Positions (direct):
1 Ca 0.000 0.500 0.000
2 Ca 0.000 0.000 0.500
3 Cs 0.500 0.500 0.500
4 Ca 0.500 0.000 0.000
5 Cd 0.000 0.000 0.000

## Properties
* V: 242.5 Å³/f.u.
* offset from the most stable computed form: 0.000 eV/atom
* total magnetization: 0.00 μB/cell
* energy of formation from the pure elements: 0.0515 eV per atom

=====

Q: Which of these has the highest V?
A: Cs2CaCd2

=====

Please write out number 3 again, unchanged.
Density functional theory data (PBE-GGA) for a relaxed CsCa3Cd crystal.

abc: 5.841 5.841 5.841
angles: 90.00 90.00 90.00
Positions (direct):
1 Cd 0.500 0.500 0.500
2 Ca 0.000 0.500 0.000
3 Ca 0.500 0.000 0.000
4 Ca 0.000 0.000 0.500
5 Cs 0.000 0.000 0.000

## Properties
* V: 199.2 Å³/f.u.
* offset from the most stable computed form: 0.999 eV/atom
* total magnetization: 0.00 μB/cell
* energy of formation from the pure elements: 1.0504 eV per atom